(1)
KNiPb2: relaxed, GGA-PBE.

Geometry as POSCAR:
```
KNiPb2
1.0
-3.227 3.227 7.687
3.227 -3.227 7.687
3.227 3.227 -7.687
K Ni Pb
2 2 4
Direct
0.375 0.625 0.750
0.625 0.375 0.250
0.125 0.875 0.250
0.875 0.125 0.750
0.000 0.000 0.000
0.000 0.000 0.500
0.000 0.500 0.000
0.500 0.000 0.500
```

Results
- SG = I4_1/amd (141)
- formation energy from the elements (meV per atom) = 203
- volume (Å³/atom) = 40.02
- calculated total energy (eV per atom) = -3.37

(2)
Na2BiBr: relaxed, GGA-PBE.

Geometry as POSCAR:
```
Na2BiBr
1.0
1.933 1.116 9.829
-1.933 1.116 9.829
0.000 -2.232 9.829
Na Bi Br
2 1 1
Direct
0.103 0.103 0.103
0.897 0.897 0.897
0.000 0.000 0.000
0.500 0.500 0.500
```

Results
- E above lowest polymorph (meV/atom) = 120
- SG = R-3m (166)
- volume (Å³/atom) = 31.81
- calculated total energy (eV per atom) = -2.75

(3)
Cs3SiH: relaxed, GGA-PBE.

Geometry as POSCAR:
```
Cs3SiH
1.0
5.985 0.000 0.000
0.000 5.985 0.000
0.000 0.000 5.985
Cs Si H
3 1 1
Direct
0.000 0.000 0.500
0.000 0.500 0.000
0.500 0.000 0.000
0.500 0.500 0.500
0.000 0.000 0.000
```

Results
- E above lowest polymorph (meV/atom) = 0
- SG = Pm-3m (221)
- volume (Å³/atom) = 42.88
- calculated total energy (eV per atom) = -2.05

(4)
ZnFe6Re: relaxed, GGA-PBE.

Geometry as POSCAR:
```
ZnFe6Re
1.0
3.620 -5.114 0.000
3.620 5.114 0.000
0.000 0.000 10.266
Zn Fe Re
4 24 4
Direct
0.000 0.000 0.248
0.000 0.000 0.752
0.251 0.749 0.500
0.749 0.251 0.500
0.000 0.000 0.000
0.000 0.000 0.500
0.123 0.374 0.375
0.123 0.374 0.625
0.129 0.379 0.123
0.129 0.379 0.877
0.249 0.751 0.248
0.249 0.751 0.752
0.374 0.123 0.375
0.374 0.123 0.625
0.379 0.129 0.123
0.379 0.129 0.877
0.500 0.500 0.000
0.500 0.500 0.500
0.621 0.871 0.123
0.621 0.871 0.877
0.626 0.877 0.375
0.626 0.877 0.625
0.751 0.249 0.248
0.751 0.249 0.752
0.871 0.621 0.123
0.871 0.621 0.877
0.877 0.626 0.375
0.877 0.626 0.625
0.252 0.748 0.000
0.500 0.500 0.246
0.500 0.500 0.754
0.748 0.252 0.000
```

Results
- SG = Cmmm (65)
- formation energy from the elements (meV per atom) = 76
- volume (Å³/atom) = 11.88
- calculated total energy (eV per atom) = -7.99

(5)
RbTiRe2: relaxed, GGA-PBE.

Geometry as POSCAR:
```
RbTiRe2
1.0
-2.450 2.450 8.874
2.450 -2.450 8.874
2.450 2.450 -8.874
Rb Ti Re
2 2 4
Direct
0.000 0.000 0.000
0.750 0.250 0.500
0.250 0.750 0.500
0.500 0.500 0.000
0.324 0.125 0.699
0.375 0.676 0.801
0.426 0.625 0.301
0.875 0.574 0.199
```

Results
- E above lowest polymorph (meV/atom) = 0
- SG = I-42d (122)
- formation energy from the elements (meV per atom) = 1656
- volume (Å³/atom) = 26.62
- calculated total energy (eV per atom) = -6.78

(6)
BeNbSbPIr: relaxed, GGA-PBE.

Geometry as POSCAR:
```
BeNbSbPIr
1.0
3.617 0.000 0.000
1.801 4.037 0.000
1.807 0.110 5.572
Be Nb Sb P Ir
1 1 1 1 1
Direct
0.000 0.000 0.000
0.591 0.527 0.296
0.759 0.843 0.643
0.328 0.128 0.217
0.350 0.445 0.856
```

Results
- E above lowest polymorph (meV/atom) = 61
- SG = P1 (1)
- volume (Å³/atom) = 16.27
- calculated total energy (eV per atom) = -6.77

(7)
Sr3TaV: relaxed, GGA-PBE.

Geometry as POSCAR:
```
Sr3TaV
1.0
5.980 0.000 0.000
0.000 5.980 0.000
0.000 0.000 5.980
Sr Ta V
3 1 1
Direct
0.000 0.000 0.500
0.000 0.500 0.000
0.500 0.000 0.000
0.000 0.000 0.000
0.500 0.500 0.500
```

Results
- E above lowest polymorph (meV/atom) = 0
- SG = Pm-3m (221)
- formation energy from the elements (meV per atom) = 1560
- volume (Å³/atom) = 42.78
- calculated total energy (eV per atom) = -3.64

(8)
YCdIr2: relaxed, GGA-PBE.

Geometry as POSCAR:
```
YCdIr2
1.0
4.349 0.000 0.000
0.000 4.349 0.000
0.000 0.000 3.867
Y Cd Ir
1 1 2
Direct
0.000 0.000 0.000
0.500 0.500 0.000
0.000 0.500 0.500
0.500 0.000 0.500
```

Results
- SG = P4/mmm (123)
- formation energy from the elements (meV per atom) = -339
- volume (Å³/atom) = 18.29
- calculated total energy (eV per atom) = -6.61

(9)
LaCdHg4: relaxed, GGA-PBE.

Geometry as POSCAR:
```
LaCdHg4
1.0
0.000 4.291 4.291
4.291 0.000 4.291
4.291 4.291 0.000
La Cd Hg
1 1 4
Direct
0.000 0.000 0.000
0.750 0.750 0.750
0.375 0.375 0.375
0.375 0.375 0.875
0.375 0.875 0.375
0.875 0.375 0.375
```

Results
- E above lowest polymorph (meV/atom) = 122
- SG = F-43m (216)
- formation energy from the elements (meV per atom) = -153
- volume (Å³/atom) = 26.34
- calculated total energy (eV per atom) = -1.33

(10)
LiTlAu: relaxed, GGA-PBE.

Geometry as POSCAR:
```
LiTlAu
1.0
3.471 0.000 0.000
-1.736 3.006 0.000
0.000 0.000 6.290
Li Tl Au
1 1 1
Direct
0.000 0.000 0.000
0.667 0.333 0.371
0.333 0.667 0.730
```

Results
- SG = P3m1 (156)
- formation energy from the elements (meV per atom) = -138
- volume (Å³/atom) = 21.88
- calculated total energy (eV per atom) = -2.66

(11)
YHg2Br: relaxed, GGA-PBE.

Geometry as POSCAR:
```
YHg2Br
1.0
2.966 -4.937 0.000
2.966 4.937 0.000
0.000 0.000 3.700
Y Hg Br
1 2 1
Direct
0.000 0.000 0.000
0.000 0.500 0.500
0.500 0.000 0.500
0.500 0.500 0.000
```

Results
- E above lowest polymorph (meV/atom) = 95
- SG = Cmmm (65)
- volume (Å³/atom) = 27.09
- calculated total energy (eV per atom) = -2.68

(12)
Th4ZnTe5: relaxed, GGA-PBE.

Geometry as POSCAR:
```
Th4ZnTe5
1.0
9.651 -2.193 0.000
9.651 2.193 0.000
-2.066 0.000 8.585
Th Zn Te
4 1 5
Direct
0.001 0.001 0.241
0.338 0.338 0.907
0.662 0.662 0.093
0.999 0.999 0.759
0.500 0.500 0.000
0.168 0.168 0.345
0.168 0.168 0.830
0.500 0.500 0.500
0.832 0.832 0.170
0.832 0.832 0.655
```

Results
- SG = C2/m (12)
- volume (Å³/atom) = 36.34
- calculated total energy (eV per atom) = -5.55